# 1
{
  "formula": "Pm2Re",
  "functional": "PBE-GGA",
  "state": "relaxed",
  "ef_ev_per_atom": 1.443,
  "crystal_system": "cubic",
  "total_energy_ev_per_atom": -5.8614,
  "space_group": "Fd-3m",
  "magnetic_moment_mub_per_fu": 0.10,
  "lattice": [[0.000, 4.192, 4.192], [4.192, 0.000, 4.192], [4.192, 4.192, 0.000]],
  "species": ["Pm", "Pm", "Pm", "Pm", "Re", "Re"],
  "fractional_positions": [[0.625, 0.625, 0.125], [0.625, 0.125, 0.625], [0.125, 0.625, 0.625], [0.625, 0.625, 0.625], [0.000, 0.000, 0.000], [0.250, 0.250, 0.250]]
}

---

# 2
{
  "formula": "HfInAg3S4",
  "functional": "PBE-GGA",
  "state": "relaxed",
  "crystal_system": "monoclinic",
  "relative_energy_mev_per_atom": 40,
  "total_energy_ev_per_atom": -4.7303,
  "space_group": "P2_1/m",
  "magnetic_moment_mub_per_fu": 0.00,
  "lattice": [[-0.824, 0.658, 6.230], [6.508, -4.005, 1.283], [5.389, 7.839, -2.871]],
  "species": ["Ag", "Ag", "Ag", "Ag", "Ag", "Ag", "Hf", "Hf", "In", "In", "S", "S", "S", "S", "S", "S", "S", "S"],
  "fractional_positions": [[0.681, 0.750, 0.197], [0.758, 0.549, 0.466], [0.758, 0.951, 0.466], [0.242, 0.049, 0.534], [0.242, 0.451, 0.534], [0.319, 0.250, 0.803], [0.188, 0.750, 0.295], [0.812, 0.250, 0.705], [0.150, 0.250, 0.106], [0.850, 0.750, 0.894], [0.291, 0.750, 0.083], [0.957, 0.004, 0.275], [0.957, 0.496, 0.275], [0.537, 0.250, 0.477], [0.463, 0.750, 0.523], [0.043, 0.504, 0.725], [0.043, 0.996, 0.725], [0.709, 0.250, 0.917]]
}

---

# 3
{
  "formula": "Ho3Ta3Re2N12",
  "functional": "PBE-GGA",
  "state": "relaxed",
  "crystal_system": "cubic",
  "total_energy_ev_per_atom": -9.4869,
  "space_group": "Ia-3d",
  "magnetic_moment_mub_per_fu": 0.96,
  "lattice": [[5.732, -8.296, -4.471], [4.322, 2.586, 9.813], [-10.511, -3.078, 1.308]],
  "species": ["Ho", "Ho", "Ho", "Ho", "Ho", "Ho", "Ho", "Ho", "Ho", "Ho", "Ho", "Ho", "N", "N", "N", "N", "N", "N", "N", "N", "N", "N", "N", "N", "N", "N", "N", "N", "N", "N", "N", "N", "N", "N", "N", "N", "N", "N", "N", "N", "N", "N", "N", "N", "N", "N", "N", "N", "N", "N", "N", "N", "N", "N", "N", "N", "N", "N", "N", "N", "Re", "Re", "Re", "Re", "Re", "Re", "Re", "Re", "Ta", "Ta", "Ta", "Ta", "Ta", "Ta", "Ta", "Ta", "Ta", "Ta", "Ta", "Ta"],
  "fractional_positions": [[0.375, 0.750, 0.125], [0.250, 0.375, 0.125], [0.375, 0.125, 0.250], [0.875, 0.625, 0.250], [0.750, 0.125, 0.375], [0.125, 0.250, 0.375], [0.875, 0.750, 0.625], [0.250, 0.875, 0.625], [0.125, 0.375, 0.750], [0.625, 0.875, 0.750], [0.625, 0.250, 0.875], [0.750, 0.625, 0.875], [0.200, 0.116, 0.025], [0.325, 0.908, 0.025], [0.884, 0.408, 0.083], [0.700, 0.675, 0.083], [0.616, 0.417, 0.092], [0.975, 0.675, 0.092], [0.025, 0.200, 0.116], [0.592, 0.917, 0.116], [0.200, 0.583, 0.175], [0.475, 0.592, 0.175], [0.583, 0.175, 0.200], [0.116, 0.025, 0.200], [0.475, 0.384, 0.300], [0.325, 0.917, 0.300], [0.908, 0.025, 0.325], [0.917, 0.300, 0.325], [0.300, 0.475, 0.384], [0.583, 0.908, 0.384], [0.825, 0.525, 0.408], [0.083, 0.884, 0.408], [0.092, 0.616, 0.417], [0.825, 0.800, 0.417], [0.592, 0.175, 0.475], [0.384, 0.300, 0.475], [0.616, 0.700, 0.525], [0.408, 0.825, 0.525], [0.175, 0.200, 0.583], [0.908, 0.384, 0.583], [0.917, 0.116, 0.592], [0.175, 0.475, 0.592], [0.417, 0.092, 0.616], [0.700, 0.525, 0.616], [0.083, 0.700, 0.675], [0.092, 0.975, 0.675], [0.675, 0.083, 0.700], [0.525, 0.616, 0.700], [0.417, 0.825, 0.800], [0.884, 0.975, 0.800], [0.525, 0.408, 0.825], [0.800, 0.417, 0.825], [0.408, 0.083, 0.884], [0.975, 0.800, 0.884], [0.025, 0.325, 0.908], [0.384, 0.583, 0.908], [0.300, 0.325, 0.917], [0.116, 0.592, 0.917], [0.675, 0.092, 0.975], [0.800, 0.884, 0.975], [0.000, 0.000, 0.000], [0.500, 0.000, 0.000], [0.000, 0.500, 0.000], [0.500, 0.500, 0.000], [0.000, 0.000, 0.500], [0.500, 0.000, 0.500], [0.000, 0.500, 0.500], [0.500, 0.500, 0.500], [0.875, 0.250, 0.125], [0.750, 0.875, 0.125], [0.625, 0.375, 0.250], [0.125, 0.875, 0.250], [0.250, 0.625, 0.375], [0.625, 0.750, 0.375], [0.375, 0.250, 0.625], [0.750, 0.375, 0.625], [0.875, 0.125, 0.750], [0.375, 0.625, 0.750], [0.250, 0.125, 0.875], [0.125, 0.750, 0.875]]
}

---

# 4
{
  "formula": "NpPt",
  "functional": "PBE-GGA",
  "state": "relaxed",
  "ef_ev_per_atom": -0.216,
  "crystal_system": "hexagonal",
  "total_energy_ev_per_atom": -9.6290,
  "space_group": "P-6m2",
  "magnetic_moment_mub_per_fu": 3.15,
  "lattice": [[-1.593, -0.058, -2.263], [-0.359, -1.885, 1.994], [-3.475, 3.162, 2.365]],
  "species": ["Np", "Pt"],
  "fractional_positions": [[0.667, 0.333, 0.750], [0.333, 0.667, 0.250]]
}

---

# 5
{
  "formula": "HfCoNiAs",
  "functional": "PBE-GGA",
  "state": "relaxed",
  "crystal_system": "cubic",
  "relative_energy_mev_per_atom": 210,
  "total_energy_ev_per_atom": -6.9519,
  "space_group": "F-43m",
  "magnetic_moment_mub_per_fu": 0.51,
  "lattice": [[4.069, -0.436, -1.409], [2.707, -2.716, 2.009], [1.234, -3.662, -1.950]],
  "species": ["As", "Co", "Hf", "Ni"],
  "fractional_positions": [[0.000, 0.000, 0.000], [0.500, 0.500, 0.500], [0.250, 0.250, 0.250], [0.750, 0.750, 0.750]]
}

---

# 6
{
  "formula": "LuMgCuSb",
  "functional": "PBE-GGA",
  "state": "relaxed",
  "crystal_system": "cubic",
  "relative_energy_mev_per_atom": 17,
  "total_energy_ev_per_atom": -3.4949,
  "space_group": "F-43m",
  "magnetic_moment_mub_per_fu": 0.04,
  "lattice": [[1.100, 0.654, 4.812], [-3.635, 0.878, 3.288], [-1.238, -3.486, 3.333]],
  "species": ["Cu", "Lu", "Mg", "Sb"],
  "fractional_positions": [[0.750, 0.750, 0.750], [0.250, 0.250, 0.250], [0.500, 0.500, 0.500], [0.000, 0.000, 0.000]]
}

---

# 7
{
  "formula": "ScU3S6",
  "functional": "PBE-GGA",
  "state": "relaxed",
  "crystal_system": "orthorhombic",
  "total_energy_ev_per_atom": -8.0533,
  "space_group": "Pnnm",
  "magnetic_moment_mub_per_fu": 8.19,
  "lattice": [[16.306, 0.000, 0.000], [0.000, 13.335, 0.000], [0.000, 0.000, 3.756]],
  "species": ["S", "S", "S", "S", "S", "S", "S", "S", "S", "S", "S", "S", "S", "S", "S", "S", "S", "S", "S", "S", "S", "S", "S", "S", "Sc", "Sc", "Sc", "Sc", "U", "U", "U", "U", "U", "U", "U", "U", "U", "U", "U", "U"],
  "fractional_positions": [[0.393, 0.025, 0.000], [0.921, 0.093, 0.000], [0.024, 0.310, 0.000], [0.787, 0.314, 0.000], [0.608, 0.373, 0.000], [0.254, 0.400, 0.000], [0.746, 0.600, 0.000], [0.392, 0.627, 0.000], [0.213, 0.686, 0.000], [0.976, 0.690, 0.000], [0.079, 0.907, 0.000], [0.607, 0.975, 0.000], [0.754, 0.100, 0.500], [0.108, 0.127, 0.500], [0.287, 0.186, 0.500], [0.524, 0.190, 0.500], [0.421, 0.407, 0.500], [0.893, 0.475, 0.500], [0.107, 0.525, 0.500], [0.579, 0.593, 0.500], [0.476, 0.810, 0.500], [0.713, 0.814, 0.500], [0.892, 0.873, 0.500], [0.246, 0.900, 0.500], [0.000, 0.500, 0.000], [0.500, 0.500, 0.000], [0.000, 0.000, 0.500], [0.500, 0.000, 0.500], [0.216, 0.051, 0.000], [0.651, 0.179, 0.000], [0.401, 0.248, 0.000], [0.599, 0.752, 0.000], [0.349, 0.821, 0.000], [0.784, 0.949, 0.000], [0.901, 0.252, 0.500], [0.151, 0.321, 0.500], [0.716, 0.449, 0.500], [0.284, 0.551, 0.500], [0.849, 0.679, 0.500], [0.099, 0.748, 0.500]]
}

---

# 8
{
  "formula": "Cu15Ge",
  "functional": "PBE-GGA",
  "state": "relaxed",
  "crystal_system": "orthorhombic",
  "relative_energy_mev_per_atom": 0,
  "total_energy_ev_per_atom": -3.7274,
  "space_group": "Pmma",
  "lattice": [[3.605, 0.000, 0.000], [0.000, 3.600, 0.000], [0.000, 0.000, 42.466]],
  "species": ["Cu", "Cu", "Cu", "Cu", "Cu", "Cu", "Cu", "Cu", "Cu", "Cu", "Cu", "Cu", "Cu", "Cu", "Cu", "Cu", "Cu", "Cu", "Cu", "Cu", "Cu", "Cu", "Cu", "Cu", "Cu", "Cu", "Cu", "Cu", "Cu", "Cu", "Ge", "Ge"],
  "fractional_positions": [[0.250, 0.000, 0.021], [0.750, 0.500, 0.021], [0.250, 0.500, 0.064], [0.750, 0.000, 0.064], [0.250, 0.000, 0.107], [0.750, 0.500, 0.107], [0.250, 0.500, 0.150], [0.750, 0.000, 0.150], [0.750, 0.500, 0.193], [0.250, 0.000, 0.193], [0.250, 0.500, 0.235], [0.750, 0.000, 0.236], [0.750, 0.500, 0.278], [0.250, 0.000, 0.278], [0.250, 0.500, 0.322], [0.750, 0.500, 0.678], [0.750, 0.000, 0.722], [0.250, 0.500, 0.722], [0.250, 0.000, 0.764], [0.750, 0.500, 0.765], [0.750, 0.000, 0.807], [0.250, 0.500, 0.807], [0.250, 0.000, 0.850], [0.750, 0.500, 0.850], [0.250, 0.500, 0.893], [0.750, 0.000, 0.893], [0.250, 0.000, 0.936], [0.750, 0.500, 0.936], [0.250, 0.500, 0.979], [0.750, 0.000, 0.979], [0.750, 0.000, 0.324], [0.250, 0.000, 0.676]]
}